No. 1
This record from the Alexandria database describes crystalline CsSc3Ag at its relaxed geometry. The functional is PBE.

Structure (CIF):
```
data_CsSc3Ag
_chemical_formula_sum 'Cs1 Sc3 Ag1'
_cell_length_a 5.446
_cell_length_b 5.446
_cell_length_c 5.446
_cell_angle_alpha 90.00
_cell_angle_beta 90.00
_cell_angle_gamma 90.00
_symmetry_space_group_name_H-M 'P 1'
_symmetry_Int_Tables_number 1
_symmetry_space_group_name_Hall 'P 1'
loop_
_atom_site_label
_atom_site_fract_x
_atom_site_fract_y
_atom_site_fract_z
Cs1 0.000 0.000 0.000
Sc1 0.000 0.500 0.500
Sc2 0.500 0.000 0.500
Sc3 0.500 0.500 0.000
Ag1 0.500 0.500 0.500
```

Its energy relative to the lowest polymorph listed for this composition is 0 meV/atom. The calculation puts the density of states at the Fermi level at 1.0013 states/eV per atom. The spin magnetization is 0.000 μB/atom. Its space group is Pm-3m, No. 221. Its crystal system is cubic. As for the calculated formation energy: 52.63 kJ/mol of atoms.


No. 2
This record from the Alexandria database describes crystalline ZnInCo at its relaxed geometry. The functional is PBE.

Structure (CIF):
```
data_ZnInCo
_chemical_formula_sum 'Zn1 In1 Co1'
_cell_length_a 4.207
_cell_length_b 4.207
_cell_length_c 4.207
_cell_angle_alpha 60.00
_cell_angle_beta 60.00
_cell_angle_gamma 60.00
_symmetry_space_group_name_H-M 'P 1'
_symmetry_Int_Tables_number 1
_symmetry_space_group_name_Hall 'P 1'
loop_
_atom_site_label
_atom_site_fract_x
_atom_site_fract_y
_atom_site_fract_z
Zn1 0.000 0.000 0.000
In1 0.500 0.500 0.500
Co1 0.250 0.250 0.250
```

Its energy relative to the lowest polymorph listed for this composition is 191 meV/atom. The calculation puts the density of states at the Fermi level at 0.6431 states/eV per atom. The spin magnetization is 0.000 μB/atom. Its space group is F-43m, No. 216. Its crystal system is cubic. As for the calculated formation energy: 18.04 kJ/mol of atoms.


No. 3
This record from the Alexandria database describes crystalline MgScO2 at its relaxed geometry. The functional is PBE.

Structure (CIF):
```
data_MgScO2
_chemical_formula_sum 'Mg1 Sc1 O2'
_cell_length_a 5.516
_cell_length_b 5.516
_cell_length_c 5.516
_cell_angle_alpha 32.07
_cell_angle_beta 32.07
_cell_angle_gamma 32.07
_symmetry_space_group_name_H-M 'P 1'
_symmetry_Int_Tables_number 1
_symmetry_space_group_name_Hall 'P 1'
loop_
_atom_site_label
_atom_site_fract_x
_atom_site_fract_y
_atom_site_fract_z
Mg1 0.000 0.000 0.000
Sc1 0.500 0.500 0.500
O1 0.257 0.257 0.257
O2 0.743 0.743 0.743
```

The calculation puts the density of states at the Fermi level at 0.3597 states/eV per atom. The spin magnetization is 0.000 μB/atom. Its space group is R-3m, No. 166. Its crystal system is trigonal. The uncorrected formation energy comes out at -2.6985 eV per atom.


No. 4
This record from the Alexandria database describes crystalline CeSm4Ho8 at its relaxed geometry. The functional is PBE.

Structure (CIF):
```
data_CeSm4Ho8
_chemical_formula_sum 'Ce1 Sm4 Ho8'
_cell_length_a 7.757
_cell_length_b 7.757
_cell_length_c 7.757
_cell_angle_alpha 90.00
_cell_angle_beta 90.00
_cell_angle_gamma 90.00
_symmetry_space_group_name_H-M 'P 1'
_symmetry_Int_Tables_number 1
_symmetry_space_group_name_Hall 'P 1'
loop_
_atom_site_label
_atom_site_fract_x
_atom_site_fract_y
_atom_site_fract_z
Ce1 0.000 0.000 0.000
Sm1 0.000 0.000 0.500
Sm2 0.000 0.500 0.000
Sm3 0.500 0.000 0.000
Sm4 0.500 0.500 0.500
Ho1 0.259 0.259 0.259
Ho2 0.259 0.259 0.741
Ho3 0.259 0.741 0.259
Ho4 0.259 0.741 0.741
Ho5 0.741 0.259 0.259
Ho6 0.741 0.259 0.741
Ho7 0.741 0.741 0.259
Ho8 0.741 0.741 0.741
```

The calculation puts the density of states at the Fermi level at 1.6379 states/eV per atom. The spin magnetization is 0.166 μB/atom. Its space group is Pm-3m, No. 221. Its crystal system is cubic. As for the calculated formation energy: 50.27 kJ/mol of atoms.


No. 5
This record from the Alexandria database describes crystalline La5Tb2HoTh at its relaxed geometry. The functional is PBE.

Structure (CIF):
```
data_La5Tb2HoTh
_chemical_formula_sum 'La10 Tb4 Ho2 Th2'
_cell_length_a 11.227
_cell_length_b 11.227
_cell_length_c 10.683
_cell_angle_alpha 90.00
_cell_angle_beta 90.00
_cell_angle_gamma 151.55
_symmetry_space_group_name_H-M 'P 1'
_symmetry_Int_Tables_number 1
_symmetry_space_group_name_Hall 'P 1'
loop_
_atom_site_label
_atom_site_fract_x
_atom_site_fract_y
_atom_site_fract_z
La1 0.000 0.000 0.000
La2 0.000 0.000 0.500
La3 0.128 0.872 0.750
La4 0.223 0.777 0.058
La5 0.223 0.777 0.442
La6 0.500 0.500 0.250
La7 0.500 0.500 0.750
La8 0.777 0.223 0.558
La9 0.777 0.223 0.942
La10 0.872 0.128 0.250
Tb1 0.388 0.612 0.506
Tb2 0.388 0.612 0.994
Tb3 0.612 0.388 0.006
Tb4 0.612 0.388 0.494
Ho1 0.103 0.897 0.250
Ho2 0.897 0.103 0.750
Th1 0.289 0.711 0.750
Th2 0.711 0.289 0.250
```

The calculation puts the density of states at the Fermi level at 1.4455 states/eV per atom. The spin magnetization is 0.000 μB/atom. Its space group is Cmcm, No. 63. Its crystal system is orthorhombic. As for the calculated formation energy: 12.24 kJ/mol of atoms.


No. 6
This record from the Alexandria database describes crystalline YTmAu at its relaxed geometry. The functional is PBE.

Structure (CIF):
```
data_YTmAu
_chemical_formula_sum 'Y1 Tm1 Au1'
_cell_length_a 4.880
_cell_length_b 4.880
_cell_length_c 3.813
_cell_angle_alpha 90.00
_cell_angle_beta 90.00
_cell_angle_gamma 120.00
_symmetry_space_group_name_H-M 'P 1'
_symmetry_Int_Tables_number 1
_symmetry_space_group_name_Hall 'P 1'
loop_
_atom_site_label
_atom_site_fract_x
_atom_site_fract_y
_atom_site_fract_z
Y1 0.000 0.000 0.000
Tm1 0.333 0.667 0.524
Au1 0.667 0.333 0.296
```

Its energy relative to the lowest polymorph listed for this composition is 238 meV/atom. The calculation puts the density of states at the Fermi level at 0.6533 states/eV per atom. The spin magnetization is 0.000 μB/atom. Its space group is P3m1, No. 156. Its crystal system is trigonal. As for the calculated formation energy: -41.51 kJ/mol of atoms.